[1]
DFT (PBEsol) results for a relaxed MgRh2Se crystal.

```
data_MgRh2Se
_chemical_formula_sum 'Mg1 Rh2 Se1'
_symmetry_space_group_name_H-M 'P 1 2/m 1'
_symmetry_Int_Tables_number 10
_cell_length_a 2.9110
_cell_length_b 4.3554
_cell_length_c 4.8087
_cell_angle_alpha 90.00
_cell_angle_beta 91.51
_cell_angle_gamma 90.00
loop_
_symmetry_equiv_pos_as_xyz
'x,y,z'
'-x,-y,-z'
'-x,y,-z'
'x,-y,z'
loop_
_atom_site_label
_atom_site_type_symbol
_atom_site_fract_x
_atom_site_fract_y
_atom_site_fract_z
Mg1 Mg 0.0000 0.0000 0.0000
Rh1 Rh 0.2896 0.5000 0.7442
Se1 Se 0.5000 0.0000 0.5000
```

Calculated values
Formation energy from raw total energies: -109.2 meV/atom
N(E_F): 3.0 states/eV/f.u.

---

[2]
DFT (PBEsol) results for a relaxed SbSe2Cl crystal.

```
data_SbSe2Cl
_chemical_formula_sum 'Sb2 Se4 Cl2'
_symmetry_space_group_name_H-M 'C 1 2/m 1'
_symmetry_Int_Tables_number 12
_cell_length_a 11.7817
_cell_length_b 3.5324
_cell_length_c 4.8950
_cell_angle_alpha 90.00
_cell_angle_beta 101.05
_cell_angle_gamma 90.00
loop_
_symmetry_equiv_pos_as_xyz
'x,y,z'
'-x,-y,-z'
'-x,y,-z'
'x,-y,z'
'x+1/2,y+1/2,z'
'-x+1/2,-y+1/2,-z'
'-x+1/2,y+1/2,-z'
'x+1/2,-y+1/2,z'
loop_
_atom_site_label
_atom_site_type_symbol
_atom_site_fract_x
_atom_site_fract_y
_atom_site_fract_z
Sb1 Sb 0.0000 0.0000 0.0000
Se1 Se 0.1927 0.5000 0.1201
Cl1 Cl 0.0000 0.5000 0.5000
```

Calculated values
Formation energy from raw total energies: -41.4 meV/atom
N(E_F): 1.7 states/eV/f.u.

---

[3]
DFT (PBEsol) results for a relaxed SiHgBiPb2 crystal.

```
data_SiHgBiPb2
_chemical_formula_sum 'Si1 Hg1 Bi1 Pb2'
_symmetry_space_group_name_H-M 'P 4/m m m'
_symmetry_Int_Tables_number 123
_symmetry_space_group_name_Hall '-P 4 2'
_cell_length_a 6.0823
_cell_length_b 6.0823
_cell_length_c 5.1303
_cell_angle_alpha 90.00
_cell_angle_beta 90.00
_cell_angle_gamma 90.00
loop_
_atom_site_label
_atom_site_type_symbol
_atom_site_fract_x
_atom_site_fract_y
_atom_site_fract_z
Si1 Si 0.0000 0.0000 0.0000
Hg1 Hg 0.5000 0.5000 0.0000
Bi1 Bi 0.0000 0.0000 0.5000
Pb1 Pb 0.0000 0.5000 0.5000
```

Calculated values
Formation energy from raw total energies: 918.5 meV/atom
N(E_F): 3.5 states/eV/f.u.

---

[4]
DFT (PBEsol) results for a relaxed KGaGe3O8 crystal.

```
data_KGaGe3O8
_chemical_formula_sum 'K2 Ga2 Ge6 O16'
_symmetry_space_group_name_H-M 'P -1'
_symmetry_Int_Tables_number 2
_cell_length_a 7.5248
_cell_length_b 7.9142
_cell_length_c 8.3340
_cell_angle_alpha 113.93
_cell_angle_beta 103.42
_cell_angle_gamma 103.91
loop_
_symmetry_equiv_pos_as_xyz
'x,y,z'
'-x,-y,-z'
loop_
_atom_site_label
_atom_site_type_symbol
_atom_site_fract_x
_atom_site_fract_y
_atom_site_fract_z
K1 K 0.1341 0.2777 0.2582
Ga1 Ga 0.2205 0.8089 0.1918
Ge1 Ge 0.2254 0.1776 0.8286
Ge2 Ge 0.3439 0.8074 0.5804
Ge3 Ge 0.3468 0.5860 0.8254
O1 O 0.0063 0.1423 0.8648
O2 O 0.1966 0.9339 0.6737
O3 O 0.1994 0.6533 0.9497
O4 O 0.2457 0.6865 0.3345
O5 O 0.2828 0.5949 0.6132
O6 O 0.3049 0.3292 0.7335
O7 O 0.3985 0.2697 0.0576
O8 O 0.4044 0.0635 0.3130
```

Calculated values
Formation energy from raw total energies: -1769.3 meV/atom
N(E_F): 0.0 states/eV/f.u.

---

[5]
DFT (PBEsol) results for a relaxed La2CrBiB crystal.

```
data_La2CrBiB
_chemical_formula_sum 'La2 Cr1 Bi1 B1'
_symmetry_space_group_name_H-M 'P 4/m m m'
_symmetry_Int_Tables_number 123
_symmetry_space_group_name_Hall '-P 4 2'
_cell_length_a 5.3858
_cell_length_b 5.3858
_cell_length_c 4.2593
_cell_angle_alpha 90.00
_cell_angle_beta 90.00
_cell_angle_gamma 90.00
loop_
_atom_site_label
_atom_site_type_symbol
_atom_site_fract_x
_atom_site_fract_y
_atom_site_fract_z
La1 La 0.0000 0.5000 0.0000
Cr1 Cr 0.0000 0.0000 0.5000
Bi1 Bi 0.5000 0.5000 0.5000
B1 B 0.0000 0.0000 0.0000
```

Calculated values
Formation energy from the elements: -0.154 eV per atom
N(E_F): 3.2 states/eV/f.u.

---

[6]
DFT (PBEsol) results for a relaxed TeAsIr3 crystal.

```
data_TeAsIr3
_chemical_formula_sum 'Te1 As1 Ir3'
_symmetry_space_group_name_H-M 'P m -3 m'
_symmetry_Int_Tables_number 221
_symmetry_space_group_name_Hall '-P 4 2 3'
_cell_length_a 4.5761
_cell_length_b 4.5761
_cell_length_c 4.5761
_cell_angle_alpha 90.00
_cell_angle_beta 90.00
_cell_angle_gamma 90.00
loop_
_atom_site_label
_atom_site_type_symbol
_atom_site_fract_x
_atom_site_fract_y
_atom_site_fract_z
Te1 Te 0.0000 0.0000 0.0000
As1 As 0.5000 0.5000 0.5000
Ir1 Ir 0.0000 0.5000 0.5000
```

Calculated values
Formation energy from raw total energies: 1130.4 meV/atom
N(E_F): 8.2 states/eV/f.u.